Material: Pm12Pt6Rh
Method: DFT, PBE
State: relaxed

Cell and atoms, written as POSCAR:
```
Pm12Pt6Rh
1.0
6.408 3.699 4.010
-6.408 3.699 4.010
0.000 -7.399 4.010
Pm Pt Rh
12 6 1
Direct
0.049 0.679 0.928
0.072 0.951 0.321
0.178 0.423 0.583
0.321 0.072 0.951
0.417 0.822 0.577
0.423 0.583 0.178
0.577 0.417 0.822
0.583 0.178 0.423
0.679 0.928 0.049
0.822 0.577 0.417
0.928 0.049 0.679
0.951 0.321 0.072
0.134 0.617 0.307
0.307 0.134 0.617
0.383 0.693 0.866
0.617 0.307 0.134
0.693 0.866 0.383
0.866 0.383 0.693
0.000 0.000 0.000
```

Computed properties:
As for the formation energy: -0.79 eV per atom. For the calculated volume, the calculation gives 570.3 Å³/cell. As for the space-group type: No. 148. The crystal system is trigonal.